1.
This record from Alexandria describes a geometry-optimized Rb3Nd3WS8 structure. The functional is PBE.

extended XYZ file:
```
15
Lattice="8.114 0.000 0.000 -4.057 7.027 -0.031 0.000 -4.652 7.889" Properties=species:S:1:pos:R:3 pbc="T T T"
S 4.057 0.023 5.508
S 4.057 2.614 2.498
S 0.000 2.351 2.351
S -2.256 3.667 5.343
S 0.000 -0.240 5.360
S 2.256 3.667 5.343
S 1.801 -1.292 2.515
S 6.313 -1.292 2.516
Nd 2.029 1.187 3.929
Nd -2.028 1.187 3.929
Nd 4.057 -2.326 3.945
Rb -2.029 3.513 -0.015
Rb 2.028 3.513 -0.015
Rb 0.000 0.000 0.000
W 0.000 -2.326 3.945
```

Space group = No. 166
E = -5.672 eV per atom
N(E_F) = 6.08 states/eV/f.u.

***

2.
This record from Alexandria describes a geometry-optimized Ce3Sm2Ge4 structure. The functional is PBE.

extended XYZ file:
```
18
Lattice="-6.548 1.883 3.854 4.078 -6.116 3.399 4.084 5.175 4.412" Properties=species:S:1:pos:R:3 pbc="T T T"
Ge 0.541 1.321 6.876
Ge 4.829 1.665 6.044
Ge -0.632 -4.151 5.873
Ge 2.246 5.092 5.791
Ge 1.073 -0.380 4.789
Ge 4.444 -2.808 5.893
Ge -3.215 -0.724 5.620
Ge -2.830 3.750 5.771
Ce -0.289 4.209 7.210
Ce -1.235 -2.117 3.626
Ce 2.308 2.409 4.552
Ce -0.693 -1.468 7.112
Ce 4.081 -0.471 3.905
Ce 1.903 -3.268 4.454
Sm 0.445 1.169 9.938
Sm 1.169 -0.228 1.726
Sm 3.132 -0.515 7.377
Sm -1.518 1.456 4.287
```

Space group = No. 14
E = -5.823 eV per atom
N(E_F) = 15.55 states/eV/f.u.

***

3.
This record from Alexandria describes a geometry-optimized TlGe2Cl4 structure. The functional is PBE.

extended XYZ file:
```
7
Lattice="-2.955 5.858 -1.986 -4.185 -3.660 4.009 5.665 1.505 3.553" Properties=species:S:1:pos:R:3 pbc="T T T"
Tl -3.570 1.099 1.012
Cl -2.863 4.112 0.234
Cl -2.562 1.632 3.992
Cl 1.388 -0.409 5.343
Cl 1.086 2.071 1.584
Ge -0.430 4.231 1.290
Ge -1.045 -0.528 4.287
```

Space group = No. 87
E = -3.159 eV per atom
N(E_F) = 4.11 states/eV/f.u.